DFT (PBE) results for crystalline SrAcAgAu at its relaxed geometry.

Lattice parameters (Å, degrees): 7.800 7.800 7.800 90.00 90.00 90.00
Sites, in units of the cell vectors:
1 Sr 0.000 0.000 0.000
2 Sr 0.000 0.500 0.500
3 Sr 0.500 0.000 0.500
4 Sr 0.500 0.500 0.000
5 Ac 0.000 0.000 0.500
6 Ac 0.000 0.500 0.000
7 Ac 0.500 0.000 0.000
8 Ac 0.500 0.500 0.500
9 Ag 0.250 0.250 0.750
10 Ag 0.250 0.750 0.250
11 Ag 0.750 0.250 0.250
12 Ag 0.750 0.750 0.750
13 Au 0.250 0.250 0.250
14 Au 0.250 0.750 0.750
15 Au 0.750 0.250 0.750
16 Au 0.750 0.750 0.250

## Properties
- Formation enthalpy at 0 K: -0.5144 eV/atom